Crystalline Ba6Ga2Hg at its relaxed geometry, computed with GGA-PBE.

The space group is Immm (No. 71) and the conventional cell measures 11.254, 11.580 and 11.967 Å, with angles of 90.00, 90.00 and 90.00 degrees. Symmetry generates all atoms from Ba at (0.000, 0.211, 0.174), Ba at (0.175, 0.240, 0.500), Ba at (0.215, 0.500, 0.254), Ga at (0.000, 0.000, 0.393), Ga at (0.121, 0.000, 0.000), Hg at (0.000, 0.500, 0.000) and Hg at (0.000, 0.500, 0.500).

As for the crystal system: orthorhombic. The value obtained for the formation energy is -246 meV/atom. Its total energy is -2.234 eV/atom.

=====

Crystalline AlCu2Se at its relaxed geometry, computed with GGA-PBE.

The space group is F-43m (No. 216) and the conventional cell measures 6.325, 6.325 and 6.325 Å, with angles of 90.00, 90.00 and 90.00 degrees. Symmetry generates all atoms from Al at (0.000, 0.000, 0.000), Cu at (0.000, 0.000, 0.500), Cu at (0.250, 0.250, 0.750) and Se at (0.250, 0.250, 0.250).

As for the crystal system: cubic. Its uncorrected formation energy is 0.2867 eV/atom. Its total energy is -3.568 eV/atom.

=====

Crystalline SnAs2W at its relaxed geometry, computed with GGA-PBE.

The space group is R3m (No. 160, hexagonal axes) and the conventional cell measures 3.2408, 3.2408 and 28.1654 Å, with angles of 90.00, 90.00 and 120.00 degrees. Symmetry generates all atoms from Sn at (0.0000, 0.0000, 0.0000), As at (0.0000, 0.0000, 0.5670), As at (0.0000, 0.0000, 0.7738) and W at (0.0000, 0.0000, 0.1707).

As for the crystal system: trigonal. The value obtained for the formation energy is 109 meV/atom. Its total energy is -6.455 eV/atom.

=====

Crystalline SrZnHPt2 at its relaxed geometry, computed with GGA-PBE.

The space group is Cmcm (No. 63) and the conventional cell measures 4.160, 11.139 and 7.307 Å, with angles of 90.00, 90.00 and 90.00 degrees. Symmetry generates all atoms from Sr at (0.000, 0.057, 0.250), Zn at (0.000, 0.219, 0.750), H at (0.000, 0.500, 0.000) and Pt at (0.000, 0.340, 0.052).

As for the crystal system: orthorhombic. Its total energy is -4.297 eV/atom.

=====

Crystalline Cs2SiHN at its relaxed geometry, computed with GGA-PBE.

The space group is P4/mmm (No. 123) and the conventional cell measures 6.624, 6.624 and 3.597 Å, with angles of 90.00, 90.00 and 90.00 degrees. Symmetry generates all atoms from Cs at (0.000, 0.500, 0.000), Si at (0.000, 0.000, 0.000), H at (0.500, 0.500, 0.500) and N at (0.000, 0.000, 0.500).

As for the crystal system: tetragonal. Its total energy is -3.479 eV/atom.

=====

Crystalline AlHgTe4 at its relaxed geometry, computed with GGA-PBE.

The space group is F-43m (No. 216) and the conventional cell measures 9.126, 9.126 and 9.126 Å, with angles of 90.00, 90.00 and 90.00 degrees. Symmetry generates all atoms from Al at (0.000, 0.000, 0.000), Hg at (0.250, 0.250, 0.750) and Te at (0.125, 0.125, 0.375).

As for the crystal system: cubic. Its uncorrected formation energy is 0.3382 eV/atom. Its total energy is -2.430 eV/atom.

=====

Crystalline K2SnPbO4 at its relaxed geometry, computed with GGA-PBE.

The space group is Pmn2_1 (No. 31) and the conventional cell measures 8.340, 7.023 and 5.803 Å, with angles of 90.00, 90.00 and 90.00 degrees. Symmetry generates all atoms from K at (0.245, 0.175, 0.000), Sn at (0.000, 0.350, 0.528), Pb at (0.000, 0.693, 0.007), O at (0.000, 0.399, 0.872), O at (0.000, 0.610, 0.382) and O at (0.202, 0.210, 0.471).

As for the crystal system: orthorhombic. Its uncorrected formation energy is -1.4642 eV/atom. Its total energy is -5.182 eV/atom.

=====

Crystalline SiNi at its relaxed geometry, computed with GGA-PBE.

The space group is P-1 (No. 2) and the conventional cell measures 2.644, 2.695 and 4.020 Å, with angles of 109.32, 90.10 and 119.34 degrees. Symmetry generates all atoms from Si at (0.000, 0.000, 0.000) and Ni at (0.500, 0.000, 0.500).

As for the crystal system: triclinic. Its uncorrected formation energy is -0.3404 eV/atom. Its total energy is -5.943 eV/atom.

=====

Crystalline Ba6InNi2 at its relaxed geometry, computed with GGA-PBE.

The space group is Immm (No. 71) and the conventional cell measures 10.797, 11.435 and 11.825 Å, with angles of 90.00, 90.00 and 90.00 degrees. Symmetry generates all atoms from Ba at (0.000, 0.204, 0.224), Ba at (0.197, 0.500, 0.176), Ba at (0.205, 0.321, 0.500), In at (0.000, 0.000, 0.000), In at (0.000, 0.000, 0.500), Ni at (0.000, 0.397, 0.000) and Ni at (0.000, 0.500, 0.400).

As for the crystal system: orthorhombic. The value obtained for the formation energy is -60 meV/atom. Its total energy is -2.931 eV/atom.

=====

| no. | density (g/cm³) |
| --- | --- |
| 1 | 4.96 |
| 2 | 6.12 |
| 3 | 8.80 |
| 4 | 10.68 |
| 5 | 3.25 |
| 6 | 6.45 |
| 7 | 4.57 |
| 8 | 6.24 |
| 9 | 4.81 |